BaCeP2Se8: optimized geometry, GGA-PBE.

Raw formation energy: -732.5 meV per atom
DOS(E_F): 2.68 states/eV/f.u.
Electronic total energy: -55.3 eV/cell

Cell: 6.4066 6.4066 9.6424 Å, 90.00 90.00 120.00°
Each line ends with the local moment (μB).
Sites, in units of the cell vectors:
Ba  0.0000  0.0000  0.0000  0.00
Ce  0.0000  0.0000  0.5000  0.19
P  0.6667  0.3333  0.2412  0.00
P  0.3333  0.6667  0.7588  0.00
Se  0.3333  0.6667  0.9840  -0.01
Se  0.3462  0.3625  0.3116  -0.01
Se  0.6375  0.9837  0.3116  -0.01
Se  0.6667  0.3333  0.0160  -0.01
Se  0.3625  0.0163  0.6884  -0.01
Se  0.6538  0.6375  0.6884  -0.01
Se  0.9837  0.3462  0.6884  -0.01
Se  0.0163  0.6538  0.3116  -0.01



Eu3Dy: optimized geometry, GGA-PBE.

E above lowest polymorph: 0.03 eV per formula unit
DOS(E_F): 6.66 states/eV/f.u.
Electronic total energy: -35.0 eV/cell

Cell: 4.1432 6.0452 7.1233 Å, 115.11 106.91 90.00°
Each line ends with the local moment (μB).
Sites, in units of the cell vectors:
Eu  0.2558  0.6725  0.5116  6.90
Eu  0.5000  0.4166  0.0000  -6.92
Eu  0.7442  0.1608  0.4884  6.90
Dy  0.0000  0.9167  0.0000  -0.06



Ce3Nd2O9: optimized geometry, GGA-PBE.

Raw formation energy: -3372.5 meV per atom
DOS(E_F): 0.00 states/eV/f.u.
Electronic total energy: -119.2 eV/cell

Cell: 14.1887 14.1887 14.1887 Å, 164.21 164.21 22.41°
Sites, in units of the cell vectors:
Nd  0.4428  0.9428  0.5000
Nd  0.0572  0.5572  0.5000
O  0.1083  0.1083  0.0000
O  0.6973  0.6973  0.0000
O  0.3027  0.3027  0.0000
O  0.8917  0.8917  0.0000
O  0.4028  0.4028  0.0000
O  0.0000  0.0000  0.0000
O  0.5972  0.5972  0.0000
O  0.2048  0.2048  0.0000
O  0.7952  0.7952  0.0000
Ce  0.6522  0.1522  0.5000
Ce  0.2500  0.7500  0.5000
Ce  0.8478  0.3478  0.5000



TbBi2Sb: optimized geometry, GGA-PBE.

E above lowest polymorph: 0.00 eV per formula unit
Raw formation energy: -369.1 meV per atom
DOS(E_F): 2.34 states/eV/f.u.
Electronic total energy: -18.0 eV/cell

Cell: 5.3050 4.7127 4.7127 Å, 90.00 90.00 90.00°
Sites, in units of the cell vectors:
Sb  0.5000  0.5000  0.5000
Tb  0.5000  0.0000  0.0000
Bi  0.0000  0.0000  0.5000
Bi  0.0000  0.5000  0.0000



ScCuIr2: optimized geometry, GGA-PBE.

DOS(E_F): 2.62 states/eV/f.u.
Electronic total energy: -56.6 eV/cell

Cell: 3.9274 3.9274 9.2515 Å, 77.75 77.75 90.00°
Sites, in units of the cell vectors:
Sc  0.5000  0.5000  0.0000
Sc  0.2500  0.7500  0.5000
Ir  0.6762  0.1250  0.2500
Ir  0.0738  0.6250  0.2500
Ir  0.3750  0.3238  0.7500
Ir  0.8750  0.9262  0.7500
Cu  0.0000  0.0000  0.0000
Cu  0.7500  0.2500  0.5000



TiZn2Os: optimized geometry, GGA-PBE.

E above lowest polymorph: 0.86 eV per formula unit
DOS(E_F): 2.68 states/eV/f.u.
Electronic total energy: -41.9 eV/cell

Cell: 3.6495 3.6495 9.8854 Å, 79.36 79.36 90.00°
Sites, in units of the cell vectors:
Zn  0.6398  0.1250  0.2500
Zn  0.1102  0.6250  0.2500
Zn  0.3750  0.3602  0.7500
Zn  0.8750  0.8898  0.7500
Os  0.0000  0.0000  0.0000
Os  0.7500  0.2500  0.5000
Ti  0.5000  0.5000  0.0000
Ti  0.2500  0.7500  0.5000



Ge4Te: optimized geometry, GGA-PBE.

Raw formation energy: 1076.9 meV per atom
DOS(E_F): 4.21 states/eV/f.u.
Electronic total energy: -16.2 eV/cell

Cell: 5.3924 5.3924 5.3924 Å, 90.00 90.00 90.00°
Sites, in units of the cell vectors:
Ge  0.0000  0.0000  0.0000
Ge  0.5000  0.0000  0.5000
Ge  0.0000  0.5000  0.5000
Ge  0.5000  0.5000  0.0000
Te  0.5000  0.5000  0.5000



TbY2ErTm2: optimized geometry, GGA-PBE.

DOS(E_F): 9.42 states/eV/f.u.
Electronic total energy: -58.8 eV/cell

Cell: 3.3724 6.4792 17.6719 Å, 90.00 90.00 90.00°
Sites, in units of the cell vectors:
Tb  0.5000  0.5000  0.0000
Tb  0.0000  0.0000  0.5000
Y  0.5000  0.2706  0.3141
Y  0.0000  0.7706  0.1859
Y  0.5000  0.7294  0.6859
Y  0.0000  0.2294  0.8141
Er  0.0000  0.0000  0.0000
Er  0.5000  0.5000  0.5000
Tm  0.5000  0.7717  0.3539
Tm  0.5000  0.2283  0.6461
Tm  0.0000  0.7283  0.8539
Tm  0.0000  0.2717  0.1461



Tl2GaSi: optimized geometry, GGA-PBE.

Raw formation energy: 351.7 meV per atom
DOS(E_F): 2.06 states/eV/f.u.
Electronic total energy: -23.6 eV/cell

Cell: 9.5625 9.5625 7.2102 Å, 48.46 48.46 90.00°
Sites, in units of the cell vectors:
Tl  0.5280  0.1250  0.2500
Tl  0.2220  0.6250  0.2500
Tl  0.3750  0.4720  0.7500
Tl  0.8750  0.7780  0.7500
Si  0.5000  0.5000  0.0000
Si  0.2500  0.7500  0.5000
Ga  0.0000  0.0000  0.0000
Ga  0.7500  0.2500  0.5000



Ce2BiO: optimized geometry, GGA-PBE.

E above lowest polymorph: 1.87 eV per formula unit
Raw formation energy: -1165.6 meV per atom
DOS(E_F): 10.67 states/eV/f.u.
Electronic total energy: -25.4 eV/cell

Cell: 3.3110 3.3110 8.0028 Å, 90.00 90.00 90.00°
Each line ends with the local moment (μB).
Sites, in units of the cell vectors:
O  0.5000  0.5000  0.0000  -0.03
Bi  0.5000  0.5000  0.5000  -0.02
Ce  0.0000  0.0000  0.8117  1.25
Ce  0.0000  0.0000  0.1883  1.25



ScCrFeAs2: optimized geometry, GGA-PBE.

DOS(E_F): 5.92 states/eV/f.u.
Electronic total energy: -31.0 eV/cell

Cell: 4.5760 4.7665 4.5760 Å, 90.00 90.00 90.00°
Each line ends with the local moment (μB).
Sites, in units of the cell vectors:
Sc  0.0000  0.5000  0.0000  -0.16
Cr  0.0000  0.0000  0.0000  0.48
As  0.0000  0.0000  0.5000  -0.04
As  0.5000  0.0000  0.0000  -0.05
Fe  0.5000  0.5000  0.5000  3.02



TlReMo2: optimized geometry, GGA-PBE.

E above lowest polymorph: 0.54 eV per formula unit
DOS(E_F): 3.21 states/eV/f.u.
Electronic total energy: -34.3 eV/cell

Cell: 2.8507 2.8507 9.2780 Å, 90.00 90.00 111.84°
Sites, in units of the cell vectors:
Mo  0.0000  0.0000  0.0221
Mo  0.5000  0.5000  0.2513
Re  0.0000  0.0000  0.4763
Tl  0.5000  0.5000  0.7504



For each record above, in turn, the calculated magnetization values are 0.10, 7.12, 0.00, 0.00, 0.00, 0.00, 0.00, 0.00, 0.00, 3.15, 3.25, 0.00 μB per formula unit.